1.
A plane-wave DFT calculation with PBE was carried out for an optimized crystal structure of SrAl2Au2.

Calculated values
DFT total energy (eV/cell): -37.23
Crystal system: tetragonal

CIF file:
```
data_SrAl2Au2
_chemical_formula_sum 'Sr2 Al4 Au4'
_space_group_name_H-M_alt 'I 4/m m m'
_space_group_IT_number 139
_space_group_name_Hall '-I 4 2'
_cell_length_a 4.6247
_cell_length_b 4.6247
_cell_length_c 10.3409
_cell_angle_alpha 90.00
_cell_angle_beta 90.00
_cell_angle_gamma 90.00
loop_
_atom_site_label
_atom_site_fract_x
_atom_site_fract_y
_atom_site_fract_z
Sr1 0.0000 0.0000 0.0000
Al1 0.0000 0.0000 0.3697
Au1 0.0000 0.5000 0.2500
```

---

2.
A plane-wave DFT calculation with PBE was carried out for an optimized crystal structure of SrAlAu.

Calculated values
DFT total energy (eV/cell): -32.11
Crystal system: cubic

CIF file:
```
data_SrAlAu
_chemical_formula_sum 'Sr4 Al4 Au4'
_space_group_name_H-M_alt 'F -4 3 m'
_space_group_IT_number 216
_space_group_name_Hall 'F -4 2 3'
_cell_length_a 7.2250
_cell_length_b 7.2250
_cell_length_c 7.2250
_cell_angle_alpha 90.00
_cell_angle_beta 90.00
_cell_angle_gamma 90.00
loop_
_atom_site_label
_atom_site_fract_x
_atom_site_fract_y
_atom_site_fract_z
Sr1 0.0000 0.0000 0.0000
Al1 0.2500 0.2500 0.7500
Au1 0.2500 0.2500 0.2500
```

---

3.
A plane-wave DFT calculation with PBE was carried out for an optimized crystal structure of SrAlZnAu.

Calculated values
DFT total energy (eV/cell): -42.02
Crystal system: cubic
E above lowest polymorph (meV per atom): 137

CIF file:
```
data_SrAlZnAu
_chemical_formula_sum 'Sr4 Al4 Zn4 Au4'
_space_group_name_H-M_alt 'F -4 3 m'
_space_group_IT_number 216
_space_group_name_Hall 'F -4 2 3'
_cell_length_a 7.0755
_cell_length_b 7.0755
_cell_length_c 7.0755
_cell_angle_alpha 90.00
_cell_angle_beta 90.00
_cell_angle_gamma 90.00
loop_
_atom_site_label
_atom_site_fract_x
_atom_site_fract_y
_atom_site_fract_z
Sr1 0.0000 0.0000 0.0000
Al1 0.2500 0.2500 0.2500
Zn1 0.0000 0.0000 0.5000
Au1 0.2500 0.2500 0.7500
```

---

4.
A plane-wave DFT calculation with PBE was carried out for an optimized crystal structure of SrAlZnAu.

Calculated values
DFT total energy (eV/cell): -42.93
Crystal system: cubic
E above lowest polymorph (meV per atom): 81

CIF file:
```
data_SrAlZnAu
_chemical_formula_sum 'Sr4 Al4 Zn4 Au4'
_space_group_name_H-M_alt 'F -4 3 m'
_space_group_IT_number 216
_space_group_name_Hall 'F -4 2 3'
_cell_length_a 6.9406
_cell_length_b 6.9406
_cell_length_c 6.9406
_cell_angle_alpha 90.00
_cell_angle_beta 90.00
_cell_angle_gamma 90.00
loop_
_atom_site_label
_atom_site_fract_x
_atom_site_fract_y
_atom_site_fract_z
Sr1 0.0000 0.0000 0.0000
Al1 0.2500 0.2500 0.7500
Zn1 0.2500 0.2500 0.2500
Au1 0.0000 0.0000 0.5000
```

---

5.
A plane-wave DFT calculation with PBE was carried out for an optimized crystal structure of SrAlZnAu.

Calculated values
DFT total energy (eV/cell): -44.22
Crystal system: cubic
E above lowest polymorph (meV per atom): 0

CIF file:
```
data_SrAlZnAu
_chemical_formula_sum 'Sr4 Al4 Zn4 Au4'
_space_group_name_H-M_alt 'F -4 3 m'
_space_group_IT_number 216
_space_group_name_Hall 'F -4 2 3'
_cell_length_a 7.0451
_cell_length_b 7.0451
_cell_length_c 7.0451
_cell_angle_alpha 90.00
_cell_angle_beta 90.00
_cell_angle_gamma 90.00
loop_
_atom_site_label
_atom_site_fract_x
_atom_site_fract_y
_atom_site_fract_z
Sr1 0.0000 0.0000 0.0000
Al1 0.0000 0.0000 0.5000
Zn1 0.2500 0.2500 0.2500
Au1 0.2500 0.2500 0.7500
```

---

6.
A plane-wave DFT calculation with PBE was carried out for an optimized crystal structure of Ta2AlAu.

Calculated values
DFT total energy (eV/cell): -120.03
Size of the total moment (μB/f.u.): 0.1
Crystal system: cubic

CIF file:
```
data_Ta2AlAu
_chemical_formula_sum 'Ta8 Al4 Au4'
_space_group_name_H-M_alt 'F -4 3 m'
_space_group_IT_number 216
_space_group_name_Hall 'F -4 2 3'
_cell_length_a 6.5439
_cell_length_b 6.5439
_cell_length_c 6.5439
_cell_angle_alpha 90.00
_cell_angle_beta 90.00
_cell_angle_gamma 90.00
loop_
_atom_site_label
_atom_site_fract_x
_atom_site_fract_y
_atom_site_fract_z
Ta1 0.0000 0.0000 0.0000
Ta2 0.2500 0.2500 0.2500
Al1 0.0000 0.0000 0.5000
Au1 0.2500 0.2500 0.7500
```

---

7.
A plane-wave DFT calculation with PBE was carried out for an optimized crystal structure of Ta2AlAu2.

Calculated values
DFT total energy (eV/cell): -64.56
Size of the total moment (μB/f.u.): 0.0
Crystal system: tetragonal
E above lowest polymorph (meV per atom): 0

CIF file:
```
data_Ta2AlAu2
_chemical_formula_sum 'Ta4 Al2 Au4'
_space_group_name_H-M_alt 'I 4/m m m'
_space_group_IT_number 139
_space_group_name_Hall '-I 4 2'
_cell_length_a 3.7727
_cell_length_b 3.7727
_cell_length_c 13.5712
_cell_angle_alpha 90.00
_cell_angle_beta 90.00
_cell_angle_gamma 90.00
loop_
_atom_site_label
_atom_site_fract_x
_atom_site_fract_y
_atom_site_fract_z
Ta1 0.0000 0.5000 0.2500
Al1 0.0000 0.0000 0.0000
Au1 0.0000 0.0000 0.4041
```

---

8.
A plane-wave DFT calculation with PBE was carried out for an optimized crystal structure of Ta2AlAu2.

Calculated values
DFT total energy (eV/cell): -62.85
Size of the total moment (μB/f.u.): 0.6
Crystal system: tetragonal
E above lowest polymorph (meV per atom): 170

CIF file:
```
data_Ta2AlAu2
_chemical_formula_sum 'Ta4 Al2 Au4'
_space_group_name_H-M_alt 'I 4/m m m'
_space_group_IT_number 139
_space_group_name_Hall '-I 4 2'
_cell_length_a 3.8359
_cell_length_b 3.8359
_cell_length_c 13.2607
_cell_angle_alpha 90.00
_cell_angle_beta 90.00
_cell_angle_gamma 90.00
loop_
_atom_site_label
_atom_site_fract_x
_atom_site_fract_y
_atom_site_fract_z
Ta1 0.0000 0.0000 0.0937
Al1 0.0000 0.0000 0.5000
Au1 0.0000 0.5000 0.2500
```

---

Copy entry 2 word for word.
A plane-wave DFT calculation with PBE was carried out for an optimized crystal structure of SrAlAu.

Calculated values
DFT total energy (eV/cell): -32.11
Crystal system: cubic

CIF file:
```
data_SrAlAu
_chemical_formula_sum 'Sr4 Al4 Au4'
_space_group_name_H-M_alt 'F -4 3 m'
_space_group_IT_number 216
_space_group_name_Hall 'F -4 2 3'
_cell_length_a 7.2250
_cell_length_b 7.2250
_cell_length_c 7.2250
_cell_angle_alpha 90.00
_cell_angle_beta 90.00
_cell_angle_gamma 90.00
loop_
_atom_site_label
_atom_site_fract_x
_atom_site_fract_y
_atom_site_fract_z
Sr1 0.0000 0.0000 0.0000
Al1 0.2500 0.2500 0.7500
Au1 0.2500 0.2500 0.2500
```

---

The highest DFT total energy belongs to which entry?
SrAlAu

---

What is the DFT total energy in the second record?
-32.11 eV/cell

---

Among the records above, which one has the lowest DFT total energy?
Ta2AlAu